1.
A geometry-optimized ZrSiMo structure. Source: Alexandria via LeMat-Bulk, functional PBE.

It has space group Pnma (No. 62), with a = 7.007 Å, b = 3.535 Å, c = 8.237 Å, α = 90.00°, β = 90.00° and γ = 90.00°. Symmetry generates all atoms from Zr at (0.043, 0.250, 0.167), Si at (0.244, 0.750, 0.362) and Mo at (0.131, 0.250, 0.561).

2.
A geometry-optimized ZrSi2Mo structure. Source: Alexandria via LeMat-Bulk, functional PBE.

It has space group P2/m (No. 10), with a = 3.068 Å, b = 3.415 Å, c = 6.386 Å, α = 90.00°, β = 101.45° and γ = 90.00°. Symmetry generates all atoms from Zr at (0.000, 0.000, 0.000), Si at (0.455, 0.500, 0.295) and Mo at (0.000, 0.000, 0.500).

| no. | formation energy (no corrections) (eV/f.u.) | total magnetization (μB/f.u.) |
| --- | --- | --- |
| 1 | -2.189 | 0.00 |
| 2 | -1.435 | 0.00 |